No. 1
Computed, not measured: a relaxed Ca3Pm3AgSe8 crystal at the PBE level of DFT.

It has space group R-3m (No. 166, hexagonal axes), with a = 8.3733 Å, b = 8.3733 Å, c = 20.5791 Å, α = 90.00°, β = 90.00° and γ = 120.00°. Symmetry generates all atoms from Ca at (0.0000, 0.5000, 0.0000), Pm at (0.0000, 0.5000, 0.5000), Ag at (0.0000, 0.0000, 0.5000), Se at (0.0000, 0.0000, 0.2501) and Se at (0.0037, 0.5019, 0.7513).

The value obtained for the formation energy without anion corrections is -1669 meV per atom.



No. 2
Computed, not measured: a relaxed Ca2PmAg2Se4 crystal at the PBE level of DFT.

It has space group C2/m (No. 12), with a = 15.453 Å, b = 4.038 Å, c = 7.833 Å, α = 90.00°, β = 115.91° and γ = 90.00°. Symmetry generates all atoms from Ca at (0.134, 0.000, 0.078), Pm at (0.000, 0.000, 0.500), Ag at (0.189, 0.500, 0.519), Se at (0.013, 0.500, 0.228) and Se at (0.207, 0.000, 0.772).

The value obtained for the formation energy without anion corrections is -1233 meV per atom.



No. 3
Computed, not measured: a relaxed Ca3Pm2AgSe6 crystal at the PBE level of DFT.

It has space group C2/m (No. 12), with a = 7.273 Å, b = 12.581 Å, c = 7.278 Å, α = 90.00°, β = 109.46° and γ = 90.00°. Symmetry generates all atoms from Ca at (0.000, 0.000, 0.000), Ca at (0.000, 0.336, 0.000), Pm at (0.000, 0.167, 0.500), Ag at (0.000, 0.500, 0.500), Se at (0.248, 0.000, 0.749) and Se at (0.249, 0.167, 0.250).

The value obtained for the formation energy without anion corrections is -1687 meV per atom.



No. 4
Computed, not measured: a relaxed CaPm2Ag2Sn2 crystal at the PBE level of DFT.

It has space group R-3m (No. 166, hexagonal axes), with a = 4.8394 Å, b = 4.8394 Å, c = 28.3371 Å, α = 90.00°, β = 90.00° and γ = 120.00°. Symmetry generates all atoms from Ca at (0.0000, 0.0000, 0.0000), Pm at (0.0000, 0.0000, 0.1283), Ag at (0.0000, 0.0000, 0.4013) and Sn at (0.0000, 0.0000, 0.2578).

The value obtained for the energy relative to the elements is -0.434 eV/atom.



Across the entries above, D(E_F) takes the values 5.17; 5.00; 7.49; 7.33 states/eV per cell, respectively.